No. 1
Compound: LiPt2
Source: Alexandria
Functional: meta-GGA SCAN
Structure: single point on PBEsol structure

Summary:
The formation energy comes out at -494 meV/atom. The density of states at the Fermi level is 4.62 states/eV per cell. Its space-group type is Cm (8). The calculation puts the excess energy over the best structure of this formula in the dataset at 0.66 kcal/mol of atoms.

abc: 5.127 5.127 6.609
angles: 105.47 105.47 30.59
Positions (direct):
Li  0.000  0.000  0.000
Li  0.674  0.674  0.352
Pt  0.060  0.060  0.628
Pt  0.334  0.334  0.672
Pt  0.394  0.394  0.288
Pt  0.730  0.730  0.964

No. 2
Compound: LiPt
Source: Alexandria
Functional: meta-GGA SCAN
Structure: single point on PBEsol structure

Summary:
The formation energy comes out at -599 meV/atom. The density of states at the Fermi level is 0.63 states/eV per cell. Its space-group type is P4/mmm (123).

abc: 2.661 2.661 3.804
angles: 90.00 90.00 90.00
Positions (direct):
Li  0.000  0.000  0.000
Pt  0.500  0.500  0.500

No. 3
Compound: LiPt
Source: Alexandria
Functional: meta-GGA SCAN
Structure: single point on PBEsol structure

Summary:
The formation energy comes out at -422 meV/atom. The density of states at the Fermi level is 4.30 states/eV per cell. Its space-group type is P2_13 (198).

abc: 4.697 4.697 4.697
angles: 90.00 90.00 90.00
Positions (direct):
Li  0.097  0.403  0.597
Li  0.403  0.597  0.097
Li  0.597  0.097  0.403
Li  0.903  0.903  0.903
Pt  0.108  0.892  0.392
Pt  0.392  0.108  0.892
Pt  0.608  0.608  0.608
Pt  0.892  0.392  0.108

> Which of these has the lowest formation energy?

number 2